Gd2V2O7: relaxed, PBE+U.

abc: 6.898 7.036 7.073
angles: 83.95 62.19 83.38
Element x y z (fractional)
Gd: 0.225 0.420 0.242
Gd: 0.240 0.839 0.829
Gd: 0.760 0.161 0.171
Gd: 0.775 0.580 0.758
V: 0.226 0.930 0.347
V: 0.307 0.336 0.718
V: 0.693 0.664 0.282
V: 0.774 0.070 0.653
O: 0.015 0.877 0.641
O: 0.138 0.158 0.910
O: 0.146 0.462 0.596
O: 0.241 0.765 0.174
O: 0.361 0.509 0.867
O: 0.404 0.136 0.248
O: 0.438 0.795 0.450
O: 0.562 0.205 0.550
O: 0.596 0.864 0.752
O: 0.639 0.491 0.133
O: 0.759 0.235 0.826
O: 0.854 0.538 0.404
O: 0.862 0.842 0.090
O: 0.985 0.123 0.359

Values from the calculation:
SG = P-1, No. 2
uncorrected energy = -9.758 eV/atom


Gd2V2O7: relaxed, PBE+U.

abc: 7.215 7.215 7.215
angles: 60.00 60.00 60.00
Element x y z (fractional)
Gd: 0.000 0.000 0.000
Gd: 0.000 0.000 0.500
Gd: 0.000 0.500 0.000
Gd: 0.500 0.000 0.000
V: 0.000 0.500 0.500
V: 0.500 0.000 0.500
V: 0.500 0.500 0.000
V: 0.500 0.500 0.500
O: 0.125 0.125 0.125
O: 0.171 0.171 0.579
O: 0.171 0.579 0.171
O: 0.171 0.579 0.579
O: 0.421 0.421 0.829
O: 0.421 0.829 0.421
O: 0.421 0.829 0.829
O: 0.579 0.171 0.171
O: 0.579 0.171 0.579
O: 0.579 0.579 0.171
O: 0.829 0.421 0.421
O: 0.829 0.421 0.829
O: 0.829 0.829 0.421
O: 0.875 0.875 0.875

Values from the calculation:
SG = Fd-3m, No. 227
uncorrected energy = -9.803 eV/atom


GdVO3: relaxed, PBE+U.

abc: 5.716 7.736 5.413
angles: 90.00 90.00 90.00
Element x y z (fractional)
Gd: 0.065 0.250 0.021
Gd: 0.435 0.750 0.521
Gd: 0.565 0.250 0.479
Gd: 0.935 0.750 0.979
V: 0.000 0.000 0.500
V: 0.000 0.500 0.500
V: 0.500 0.000 0.000
V: 0.500 0.500 0.000
O: 0.038 0.750 0.388
O: 0.202 0.557 0.809
O: 0.202 0.943 0.809
O: 0.298 0.057 0.309
O: 0.298 0.443 0.309
O: 0.462 0.250 0.888
O: 0.538 0.750 0.112
O: 0.702 0.557 0.691
O: 0.702 0.943 0.691
O: 0.798 0.057 0.191
O: 0.798 0.443 0.191
O: 0.962 0.250 0.612

Values from the calculation:
SG = Pnma, No. 62
uncorrected energy = -10.083 eV/atom


Gd3YV4O16: relaxed, PBE+U.

abc: 6.062 6.062 10.295
angles: 90.00 90.00 116.24
Element x y z (fractional)
Gd: 0.000 0.000 0.000
Gd: 0.000 0.500 0.251
Gd: 0.500 0.000 0.749
Y: 0.500 0.500 0.500
V: 0.000 0.000 0.500
V: 0.000 0.500 0.748
V: 0.500 0.000 0.252
V: 0.500 0.500 0.000
O: 0.082 0.765 0.840
O: 0.084 0.267 0.409
O: 0.234 0.418 0.092
O: 0.235 0.918 0.160
O: 0.266 0.581 0.656
O: 0.267 0.084 0.591
O: 0.418 0.234 0.908
O: 0.419 0.734 0.344
O: 0.581 0.266 0.344
O: 0.582 0.766 0.908
O: 0.733 0.916 0.591
O: 0.734 0.419 0.656
O: 0.765 0.082 0.160
O: 0.766 0.582 0.092
O: 0.916 0.733 0.409
O: 0.918 0.235 0.840

Values from the calculation:
SG = C222, No. 21
uncorrected energy = -9.289 eV/atom


Gd2W2O9: relaxed, PBE+U.

abc: 6.823 7.192 7.485
angles: 70.74 84.26 82.72
Element x y z (fractional)
Gd: 0.113 0.294 0.376
Gd: 0.344 0.738 0.847
Gd: 0.656 0.262 0.153
Gd: 0.887 0.706 0.624
W: 0.234 0.262 0.948
W: 0.341 0.796 0.367
W: 0.659 0.204 0.633
W: 0.766 0.738 0.052
O: 0.000 0.243 0.099
O: 0.000 0.757 0.901
O: 0.139 0.642 0.376
O: 0.172 0.487 0.750
O: 0.183 0.906 0.543
O: 0.231 0.056 0.855
O: 0.318 0.430 0.090
O: 0.354 0.069 0.217
O: 0.460 0.299 0.469
O: 0.468 0.739 0.142
O: 0.532 0.261 0.858
O: 0.540 0.701 0.531
O: 0.646 0.931 0.783
O: 0.682 0.570 0.910
O: 0.769 0.944 0.145
O: 0.817 0.094 0.457
O: 0.828 0.513 0.250
O: 0.861 0.358 0.624

Values from the calculation:
SG = P-1, No. 2
uncorrected energy = -9.305 eV/atom


Gd2W2O9: relaxed, PBE+U.

abc: 24.119 5.372 5.547
angles: 90.00 90.00 90.00
Element x y z (fractional)
Gd: 0.201 0.225 0.083
Gd: 0.201 0.775 0.583
Gd: 0.299 0.275 0.583
Gd: 0.299 0.725 0.083
Gd: 0.701 0.275 0.917
Gd: 0.701 0.725 0.417
Gd: 0.799 0.225 0.417
Gd: 0.799 0.775 0.917
W: 0.076 0.250 0.679
W: 0.076 0.750 0.179
W: 0.424 0.250 0.179
W: 0.424 0.750 0.679
W: 0.576 0.250 0.321
W: 0.576 0.750 0.821
W: 0.924 0.250 0.821
W: 0.924 0.750 0.321
O: 0.000 0.345 0.750
O: 0.000 0.655 0.250
O: 0.059 0.040 0.430
O: 0.059 0.960 0.930
O: 0.096 0.466 0.996
O: 0.096 0.534 0.496
O: 0.149 0.132 0.718
O: 0.149 0.868 0.218
O: 0.242 0.496 0.340
O: 0.242 0.504 0.840
O: 0.258 0.004 0.840
O: 0.258 0.996 0.340
O: 0.351 0.368 0.218
O: 0.351 0.632 0.718
O: 0.404 0.034 0.496
O: 0.404 0.966 0.996
O: 0.441 0.460 0.930
O: 0.441 0.540 0.430
O: 0.500 0.155 0.250
O: 0.500 0.845 0.750
O: 0.559 0.460 0.570
O: 0.559 0.540 0.070
O: 0.596 0.034 0.004
O: 0.596 0.966 0.504
O: 0.649 0.368 0.282
O: 0.649 0.632 0.782
O: 0.742 0.004 0.660
O: 0.742 0.996 0.160
O: 0.758 0.496 0.160
O: 0.758 0.504 0.660
O: 0.851 0.132 0.782
O: 0.851 0.868 0.282
O: 0.904 0.466 0.504
O: 0.904 0.534 0.004
O: 0.941 0.040 0.070
O: 0.941 0.960 0.570

Values from the calculation:
SG = Pbcn, No. 60
uncorrected energy = -9.293 eV/atom


- Which of these has the highest uncorrected energy?
  Gd3YV4O16